# Y2Al5Cu2Rh

An optimized crystal structure of Y2Al5Cu2Rh (PBE, Alexandria).

Output
* electronic total energy: -104.3 eV/cell
* energy of formation: -0.499 eV/atom
* crystal system: tetragonal

Cell lengths 3.7840, 9.5872, 9.5872 Å; angles 90.00, 90.00, 90.00 degrees
Last column: nearest neighbours and their distance in Å.
Element x y z (fractional)
Y 0.0000 0.6824 0.1824  3 Cu 2.74-2.92
Y 0.0000 0.3176 0.8176  3 Cu 2.74-2.92
Y 0.0000 0.1824 0.3176  3 Cu 2.74-2.92
Y 0.0000 0.8176 0.6824  3 Cu 2.74-2.92
Al 0.5000 0.1961 0.0528  2 Cu 2.69, 2 Rh 2.72, 3 Al 2.75-2.96
Al 0.5000 0.8039 0.9472  2 Cu 2.69, 2 Rh 2.72, 3 Al 2.75-2.96
Al 0.5000 0.0528 0.8039  2 Cu 2.69, 2 Rh 2.72, 3 Al 2.75-2.96
Al 0.5000 0.6961 0.4472  2 Cu 2.69, 2 Rh 2.72, 3 Al 2.75-2.96
Al 0.5000 0.9472 0.1961  2 Cu 2.69, 2 Rh 2.72, 3 Al 2.75-2.96
Al 0.5000 0.3039 0.5528  2 Cu 2.69, 2 Rh 2.72, 3 Al 2.75-2.96
Al 0.5000 0.5528 0.6961  2 Cu 2.69, 2 Rh 2.72, 3 Al 2.75-2.96
Al 0.5000 0.4472 0.3039  2 Cu 2.69, 2 Rh 2.72, 3 Al 2.75-2.96
Al 0.5000 0.5000 0.0000  4 Cu 2.45
Al 0.5000 0.0000 0.5000  4 Cu 2.45
Cu 0.0000 0.1151 0.6151  6 Al 2.45-2.69, 1 Y 2.74
Cu 0.0000 0.8849 0.3849  6 Al 2.45-2.69, 1 Y 2.74
Cu 0.0000 0.6151 0.8849  6 Al 2.45-2.69, 1 Y 2.74
Cu 0.0000 0.3849 0.1151  6 Al 2.45-2.69, 1 Y 2.74
Rh 0.0000 0.0000 0.0000  8 Al 2.72
Rh 0.0000 0.5000 0.5000  8 Al 2.72